(1)
First-principles (GGA-PBE) data for crystalline CaScFe2 at its relaxed geometry, as listed in Alexandria via LeMat-Bulk.

a b c (Å): 6.177 6.177 6.177
angles (deg): 147.77 139.25 52.88
Sites, in units of the cell vectors:
Ca 0.000 0.000 0.000
Sc 0.733 0.233 0.500
Fe 0.253 0.753 0.500
Fe 0.390 0.390 0.000

Properties
VASP energy in eV/atom: -6.09
ΔE_f in eV per atom: 0.22
Mass density in g/cm3: 4.0

=====

(2)
First-principles (GGA-PBE) data for crystalline CsRb3Cd2 at its relaxed geometry, as listed in Alexandria via LeMat-Bulk.

a b c (Å): 11.423 11.423 15.423
angles (deg): 120.51 120.51 26.40
Sites, in units of the cell vectors:
Cs 0.157 0.157 0.237
Cs 0.843 0.843 0.763
Rb 0.159 0.159 0.743
Rb 0.417 0.417 0.559
Rb 0.418 0.418 0.069
Rb 0.582 0.582 0.931
Rb 0.583 0.583 0.441
Rb 0.841 0.841 0.257
Cd 0.235 0.235 0.035
Cd 0.235 0.235 0.535
Cd 0.765 0.765 0.465
Cd 0.765 0.765 0.965

Properties
VASP energy in eV/atom: -0.97
ΔE_f in eV per atom: -0.04
Mass density in g/cm3: 2.7

=====

(3)
First-principles (GGA-PBE) data for crystalline Ba2ZrP at its relaxed geometry, as listed in Alexandria via LeMat-Bulk.

a b c (Å): 6.148 6.148 6.148
angles (deg): 133.78 133.78 67.44
Sites, in units of the cell vectors:
Ba 0.000 0.000 0.000
Ba 0.750 0.250 0.500
Zr 0.500 0.500 0.000
P 0.250 0.750 0.500

Properties
VASP energy in eV/atom: -4.18
ΔE_f in eV per atom: 0.27
Mass density in g/cm3: 5.5

=====

(4)
First-principles (GGA-PBE) data for crystalline Tl2NiPb at its relaxed geometry, as listed in Alexandria via LeMat-Bulk.

a b c (Å): 9.100 9.100 9.100
angles (deg): 23.05 23.05 23.05
Sites, in units of the cell vectors:
Tl 0.230 0.230 0.230
Tl 0.770 0.770 0.770
Ni 0.500 0.500 0.500
Pb 0.000 0.000 0.000

Properties
VASP energy in eV/atom: -3.31
Relative energy among the computed polymorphs in meV per atom: 92
ΔE_f in eV per atom: 0.25
Mass density in g/cm3: 11.0

=====

(5)
First-principles (GGA-PBE) data for crystalline RbEr4ScSe8 at its relaxed geometry, as listed in Alexandria via LeMat-Bulk.

a b c (Å): 8.221 8.221 8.221
angles (deg): 63.75 63.75 63.75
Sites, in units of the cell vectors:
Rb 0.000 0.000 0.000
Er 0.043 0.580 0.580
Er 0.195 0.195 0.195
Er 0.580 0.043 0.580
Er 0.580 0.580 0.043
Sc 0.567 0.567 0.567
Se 0.317 0.317 0.798
Se 0.317 0.798 0.317
Se 0.331 0.331 0.331
Se 0.372 0.783 0.783
Se 0.783 0.372 0.783
Se 0.783 0.783 0.372
Se 0.798 0.317 0.317
Se 0.815 0.815 0.815

Properties
Formation energy from raw total energies in eV per atom: -1.67
VASP energy in eV/atom: -5.48
Mass density in g/cm3: 5.6

=====

(6)
First-principles (GGA-PBE) data for crystalline Sc2Si2Rh at its relaxed geometry, as listed in Alexandria via LeMat-Bulk.

a b c (Å): 6.348 6.348 4.145
angles (deg): 90.00 90.00 90.00
Sites, in units of the cell vectors:
Sc 0.171 0.329 0.000
Sc 0.329 0.829 0.000
Sc 0.671 0.171 0.000
Sc 0.829 0.671 0.000
Si 0.135 0.635 0.500
Si 0.365 0.135 0.500
Si 0.635 0.865 0.500
Si 0.865 0.365 0.500
Rh 0.000 0.000 0.500
Rh 0.500 0.500 0.500

Properties
Formation energy from raw total energies in eV per atom: -1.00
VASP energy in eV/atom: -7.17
Mass density in g/cm3: 5.0

=====

(7)
First-principles (GGA-PBE) data for crystalline Ce3ErTl3S8 at its relaxed geometry, as listed in Alexandria via LeMat-Bulk.

a b c (Å): 8.876 8.876 8.876
angles (deg): 55.29 55.29 55.29
Sites, in units of the cell vectors:
Ce 0.000 0.500 0.500
Ce 0.500 0.000 0.500
Ce 0.500 0.500 0.000
Er 0.000 0.000 0.000
Tl 0.000 0.000 0.500
Tl 0.000 0.500 0.000
Tl 0.500 0.000 0.000
S 0.228 0.228 0.738
S 0.228 0.738 0.228
S 0.262 0.772 0.772
S 0.266 0.266 0.266
S 0.734 0.734 0.734
S 0.738 0.228 0.228
S 0.772 0.262 0.772
S 0.772 0.772 0.262

Properties
Formation energy from raw total energies in eV per atom: -1.52
VASP energy in eV/atom: -5.68
Mass density in g/cm3: 5.5

=====

(8)
First-principles (GGA-PBE) data for crystalline Y3AlFe at its relaxed geometry, as listed in Alexandria via LeMat-Bulk.

a b c (Å): 5.114 5.114 5.114
angles (deg): 90.00 90.00 90.00
Sites, in units of the cell vectors:
Y 0.000 0.000 0.500
Y 0.000 0.500 0.000
Y 0.500 0.000 0.000
Al 0.500 0.500 0.500
Fe 0.000 0.000 0.000

Properties
VASP energy in eV/atom: -6.22
Relative energy among the computed polymorphs in meV per atom: 0
ΔE_f in eV per atom: 0.10
Mass density in g/cm3: 4.3

=====

(9)
First-principles (GGA-PBE) data for crystalline Cd3P at its relaxed geometry, as listed in Alexandria via LeMat-Bulk.

a b c (Å): 4.378 4.378 4.378
angles (deg): 90.00 90.00 90.00
Sites, in units of the cell vectors:
Cd 0.000 0.000 0.500
Cd 0.000 0.500 0.000
Cd 0.500 0.000 0.000
P 0.500 0.500 0.500

Properties
VASP energy in eV/atom: -1.81
Relative energy among the computed polymorphs in meV per atom: 138
ΔE_f in eV per atom: 0.23
Mass density in g/cm3: 7.3

=====

(10)
First-principles (GGA-PBE) data for crystalline BeAlTe2 at its relaxed geometry, as listed in Alexandria via LeMat-Bulk.

a b c (Å): 5.343 5.343 4.790
angles (deg): 106.64 106.64 89.83
Sites, in units of the cell vectors:
Be 0.000 0.000 0.000
Al 0.500 0.500 0.000
Te 0.000 0.500 0.000
Te 0.500 0.000 0.000

Properties
Formation energy from raw total energies in eV per atom: 0.25
VASP energy in eV/atom: -3.19
Relative energy among the computed polymorphs in meV per atom: 338
Mass density in g/cm3: 3.9

=====

(11)
First-principles (GGA-PBE) data for crystalline RbSr3 at its relaxed geometry, as listed in Alexandria via LeMat-Bulk.

a b c (Å): 8.485 8.485 8.485
angles (deg): 150.57 62.81 125.87
Sites, in units of the cell vectors:
Rb 0.000 0.000 0.000
Sr 0.084 0.329 0.755
Sr 0.503 0.003 0.500
Sr 0.575 0.329 0.245

Properties
VASP energy in eV/atom: -1.39
Relative energy among the computed polymorphs in meV per atom: 41
ΔE_f in eV per atom: 0.11
Mass density in g/cm3: 2.4

=====

(12)
First-principles (GGA-PBE) data for crystalline TlCdI5 at its relaxed geometry, as listed in Alexandria via LeMat-Bulk.

a b c (Å): 9.650 9.650 9.265
angles (deg): 90.03 90.03 122.78
Sites, in units of the cell vectors:
Tl 0.107 0.893 0.750
Tl 0.893 0.107 0.250
Cd 0.500 0.500 0.000
Cd 0.500 0.500 0.500
I 0.196 0.211 0.985
I 0.211 0.196 0.485
I 0.303 0.679 0.595
I 0.321 0.697 0.905
I 0.359 0.641 0.250
I 0.641 0.359 0.750
I 0.679 0.303 0.095
I 0.697 0.321 0.405
I 0.789 0.804 0.515
I 0.804 0.789 0.015

Properties
Formation energy from raw total energies in eV per atom: -0.35
VASP energy in eV/atom: -1.93
Mass density in g/cm3: 4.4

=====

(13)
First-principles (GGA-PBE) data for crystalline OsPt2Cl at its relaxed geometry, as listed in Alexandria via LeMat-Bulk.

a b c (Å): 8.811 8.811 8.811
angles (deg): 18.97 18.97 18.97
Sites, in units of the cell vectors:
Os 0.000 0.000 0.000
Pt 0.252 0.252 0.252
Pt 0.748 0.748 0.748
Cl 0.500 0.500 0.500

Properties
Formation energy from raw total energies in eV per atom: 0.38
VASP energy in eV/atom: -5.91
Relative energy among the computed polymorphs in meV per atom: 81
Mass density in g/cm3: 16.2

=====

(14)
First-principles (GGA-PBE) data for crystalline Tm6PuTh2 at its relaxed geometry, as listed in Alexandria via LeMat-Bulk.

a b c (Å): 9.671 9.671 6.141
angles (deg): 100.42 100.42 87.65
Sites, in units of the cell vectors:
Tm 0.100 0.700 0.508
Tm 0.182 0.540 0.970
Tm 0.233 0.368 0.421
Tm 0.300 0.900 0.992
Tm 0.368 0.233 0.921
Tm 0.460 0.818 0.530
Tm 0.540 0.182 0.470
Tm 0.632 0.767 0.079
Tm 0.700 0.100 0.008
Tm 0.767 0.632 0.579
Tm 0.818 0.460 0.030
Tm 0.900 0.300 0.492
Pu 0.481 0.519 0.750
Pu 0.519 0.481 0.250
Th 0.041 0.165 0.985
Th 0.165 0.041 0.485
Th 0.835 0.959 0.515
Th 0.959 0.835 0.015

Properties
VASP energy in eV/atom: -6.07
ΔE_f in eV per atom: 0.15
Mass density in g/cm3: 10.3

=====

(15)
First-principles (GGA-PBE) data for crystalline Tm3Cu4Si4 at its relaxed geometry, as listed in Alexandria via LeMat-Bulk.

a b c (Å): 7.792 7.792 7.792
angles (deg): 149.53 130.67 59.10
Sites, in units of the cell vectors:
Tm 0.000 0.000 0.000
Tm 0.372 0.872 0.500
Tm 0.628 0.128 0.500
Cu 0.022 0.331 0.692
Cu 0.361 0.669 0.692
Cu 0.639 0.331 0.308
Cu 0.978 0.669 0.308
Si 0.217 0.217 0.000
Si 0.314 0.500 0.814
Si 0.686 0.500 0.186
Si 0.783 0.783 0.000

Properties
Formation energy from raw total energies in eV per atom: -0.64
VASP energy in eV/atom: -5.32
Mass density in g/cm3: 8.0

=====

(16)
First-principles (GGA-PBE) data for crystalline Mn2IrCl at its relaxed geometry, as listed in Alexandria via LeMat-Bulk.

a b c (Å): 4.208 4.208 4.208
angles (deg): 60.00 60.00 60.00
Sites, in units of the cell vectors:
Mn 0.250 0.250 0.250
Mn 0.750 0.750 0.750
Ir 0.000 0.000 0.000
Cl 0.500 0.500 0.500

Properties
Formation energy from raw total energies in eV per atom: 0.87
VASP energy in eV/atom: -6.39
Relative energy among the computed polymorphs in meV per atom: 969
Mass density in g/cm3: 10.6

=====

(17)
First-principles (GGA-PBE) data for crystalline KY2I6 at its relaxed geometry, as listed in Alexandria via LeMat-Bulk.

a b c (Å): 9.555 9.555 10.860
angles (deg): 102.93 102.93 26.09
Sites, in units of the cell vectors:
K 0.000 0.000 0.000
Y 0.331 0.331 0.657
Y 0.669 0.669 0.343
I 0.159 0.159 0.547
I 0.195 0.195 0.155
I 0.494 0.494 0.745
I 0.506 0.506 0.255
I 0.805 0.805 0.845
I 0.841 0.841 0.453

Properties
Formation energy from raw total energies in eV per atom: -1.34
VASP energy in eV/atom: -3.93
Mass density in g/cm3: 3.8

=====

(18)
First-principles (GGA-PBE) data for crystalline BaLi2Mg at its relaxed geometry, as listed in Alexandria via LeMat-Bulk.

a b c (Å): 5.159 5.159 11.427
angles (deg): 90.00 90.00 120.00
Sites, in units of the cell vectors:
Ba 0.333 0.667 0.250
Ba 0.667 0.333 0.750
Li 0.333 0.667 0.553
Li 0.333 0.667 0.947
Li 0.667 0.333 0.053
Li 0.667 0.333 0.447
Mg 0.000 0.000 0.000
Mg 0.000 0.000 0.500

Properties
VASP energy in eV/atom: -1.82
ΔE_f in eV per atom: 0.02
Mass density in g/cm3: 2.2

=====

(19)
First-principles (GGA-PBE) data for crystalline SiBAsBr2 at its relaxed geometry, as listed in Alexandria via LeMat-Bulk.

a b c (Å): 5.058 5.058 4.959
angles (deg): 90.00 90.00 90.00
Sites, in units of the cell vectors:
Si 0.000 0.000 0.000
B 0.500 0.500 0.500
As 0.000 0.000 0.500
Br 0.000 0.500 0.000
Br 0.500 0.000 0.000

Properties
Formation energy from raw total energies in eV per atom: 1.17
VASP energy in eV/atom: -2.85
Relative energy among the computed polymorphs in meV per atom: 243
Mass density in g/cm3: 3.6

=====

(20)
First-principles (GGA-PBE) data for crystalline RbCaPS2 at its relaxed geometry, as listed in Alexandria via LeMat-Bulk.

a b c (Å): 5.424 5.424 5.601
angles (deg): 90.00 90.00 90.00
Sites, in units of the cell vectors:
Rb 0.000 0.000 0.000
Ca 0.500 0.500 0.500
P 0.500 0.500 0.000
S 0.000 0.500 0.500
S 0.500 0.000 0.500

Properties
Formation energy from raw total energies in eV per atom: -0.20
VASP energy in eV/atom: -3.53
Relative energy among the computed polymorphs in meV per atom: 0
Mass density in g/cm3: 2.2